No. 1
A geometry-optimized LaTmSc2In4 structure. Source: Alexandria, functional GGA-PBE.

a b c (Å): 5.2385 5.2385 25.8506
angles (deg): 90.00 90.00 120.00
Space group R-3m (No. 166, hexagonal axes)
Asymmetric unit:
1 La 0.0000 0.0000 0.0000 [3 per cell]
2 Tm 0.0000 0.0000 0.5000 [3 per cell]
3 Sc 0.0000 0.0000 0.2492 [6 per cell]
4 In 0.0000 0.0000 0.1279 [6 per cell]
5 In 0.0000 0.0000 0.3785 [6 per cell]

Results
DOS(E_F) ... 0.62 states/eV per atom
Energy relative to the elements ... -0.42 eV/atom

No. 2
A geometry-optimized LaYSc2In4 structure. Source: Alexandria, functional GGA-PBE.

a b c (Å): 5.2580 5.2580 25.8749
angles (deg): 90.00 90.00 120.00
Space group R-3m (No. 166, hexagonal axes)
Asymmetric unit:
1 La 0.0000 0.0000 0.0000 [3 per cell]
2 Y 0.0000 0.0000 0.5000 [3 per cell]
3 Sc 0.0000 0.0000 0.2497 [6 per cell]
4 In 0.0000 0.0000 0.1273 [6 per cell]
5 In 0.0000 0.0000 0.3776 [6 per cell]

Results
DOS(E_F) ... 0.53 states/eV per atom
Energy relative to the elements ... -0.43 eV/atom

No. 3
A geometry-optimized LaSc2Zn2In2 structure. Source: Alexandria, functional GGA-PBE.

a b c (Å): 4.6842 4.6842 26.3738
angles (deg): 90.00 90.00 120.00
Space group R-3m (No. 166, hexagonal axes)
Asymmetric unit:
1 La 0.0000 0.0000 0.0000 [3 per cell]
2 Sc 0.0000 0.0000 0.1370 [6 per cell]
3 Zn 0.0000 0.0000 0.4439 [6 per cell]
4 In 0.0000 0.0000 0.2566 [6 per cell]

Results
DOS(E_F) ... 0.73 states/eV per atom
Energy relative to the elements ... -0.31 eV/atom

No. 4
A geometry-optimized LaInSe2 structure. Source: Alexandria, functional GGA-PBE.

a b c (Å): 7.467 7.467 7.467
angles (deg): 90.00 90.00 90.00
Space group F-43m (No. 216)
Asymmetric unit:
1 La 0.000 0.000 0.000 [4 per cell]
2 In 0.250 0.250 0.750 [4 per cell]
3 Se 0.000 0.000 0.500 [4 per cell]
4 Se 0.250 0.250 0.250 [4 per cell]

Results
Formation energy from raw total energies ... -658 meV per atom
DOS(E_F) ... 0.22 states/eV per atom

No. 5
A geometry-optimized La3InSe6 structure. Source: Alexandria, functional GGA-PBE.

a b c (Å): 11.698 14.660 7.161
angles (deg): 90.00 90.00 90.00
Space group Cmc2_1 (No. 36)
Asymmetric unit:
1 La 0.000 0.099 0.000 [4 per cell]
2 La 0.186 0.401 0.083 [8 per cell]
3 In 0.000 0.301 0.622 [4 per cell]
4 Se 0.000 0.281 0.261 [4 per cell]
5 Se 0.000 0.466 0.778 [4 per cell]
6 Se 0.161 0.027 0.291 [8 per cell]
7 Se 0.172 0.233 0.812 [8 per cell]

Results
Formation energy from raw total energies ... -1669 meV per atom
DOS(E_F) ... 0.00 states/eV per atom

No. 6
A geometry-optimized La2InSe2 structure. Source: Alexandria, functional GGA-PBE.

a b c (Å): 8.592 8.592 3.870
angles (deg): 90.00 90.00 90.00
Space group P4/mbm (No. 127)
Asymmetric unit:
1 La 0.159 0.341 0.000 [4 per cell]
2 In 0.000 0.000 0.000 [2 per cell]
3 Se 0.140 0.640 0.500 [4 per cell]

Results
Formation energy from raw total energies ... -1241 meV per atom
DOS(E_F) ... 0.99 states/eV per atom
Relative energy among the computed polymorphs ... 82 meV/atom

No. 7
A geometry-optimized LaIn6Se8 structure. Source: Alexandria, functional GGA-PBE.

a b c (Å): 10.9579 10.9579 12.6136
angles (deg): 90.00 90.00 120.00
Space group R-3 (No. 148, hexagonal axes)
Asymmetric unit:
1 La 0.0000 0.0000 0.0000 [3 per cell]
2 In 0.0169 0.7715 0.3585 [18 per cell]
3 Se 0.0000 0.0000 0.2774 [6 per cell]
4 Se 0.0429 0.4581 0.7677 [18 per cell]

Results
Formation energy from raw total energies ... -624 meV per atom
DOS(E_F) ... 0.69 states/eV per atom

No. 8
A geometry-optimized LaIn2Se4 structure. Source: Alexandria, functional GGA-PBE.

a b c (Å): 6.048 6.048 6.832
angles (deg): 90.00 90.00 90.00
Space group P-42m (No. 111)
Asymmetric unit:
1 La 0.000 0.000 0.000 [1 per cell]
2 In 0.000 0.500 0.500 [2 per cell]
3 Se 0.270 0.270 0.260 [4 per cell]

Results
Formation energy from raw total energies ... -834 meV per atom
DOS(E_F) ... 0.45 states/eV per atom

No. 9
A geometry-optimized La2InSe5 structure. Source: Alexandria, functional GGA-PBE.

a b c (Å): 5.869 14.943 12.960
angles (deg): 90.00 90.00 90.00
Space group Cmcm (No. 63)
Asymmetric unit:
1 La 0.000 0.163 0.073 [8 per cell]
2 In 0.000 0.175 0.750 [4 per cell]
3 Se 0.000 0.034 0.606 [8 per cell]
4 Se 0.000 0.293 0.250 [4 per cell]
5 Se 0.000 0.300 0.593 [8 per cell]

Results
Formation energy from raw total energies ... -1232 meV per atom
DOS(E_F) ... 0.77 states/eV per atom

No. 10
A geometry-optimized LaInSe2 structure. Source: Alexandria, functional GGA-PBE.

a b c (Å): 4.2674 4.2674 24.0286
angles (deg): 90.00 90.00 120.00
Space group R3m (No. 160, hexagonal axes)
Asymmetric unit:
1 La 0.0000 0.0000 0.0000 [3 per cell]
2 In 0.0000 0.0000 0.1681 [3 per cell]
3 Se 0.0000 0.0000 0.5919 [3 per cell]
4 Se 0.0000 0.0000 0.7412 [3 per cell]

Results
Formation energy from raw total energies ... -1264 meV per atom

No. 11
A geometry-optimized La4InSe structure. Source: Alexandria, functional GGA-PBE.

a b c (Å): 9.084 9.084 9.084
angles (deg): 90.00 90.00 90.00
Space group F-43m (No. 216)
Asymmetric unit:
1 La 0.124 0.124 0.376 [16 per cell]
2 In 0.250 0.250 0.750 [4 per cell]
3 Se 0.000 0.000 0.000 [4 per cell]

Results
Formation energy from raw total energies ... -65 meV per atom
DOS(E_F) ... 1.00 states/eV per atom

No. 12
A geometry-optimized LaInSe2 structure. Source: Alexandria, functional GGA-PBE.

a b c (Å): 4.361 4.361 6.143
angles (deg): 90.00 90.00 90.00
Space group P4/mmm (No. 123)
Asymmetric unit:
1 La 0.000 0.000 0.000 [1 per cell]
2 In 0.500 0.500 0.500 [1 per cell]
3 Se 0.000 0.000 0.500 [1 per cell]
4 Se 0.500 0.500 0.000 [1 per cell]

Results
Formation energy from raw total energies ... -1269 meV per atom
DOS(E_F) ... 0.44 states/eV per atom

Please write out number 3 again, unchanged.
A geometry-optimized LaSc2Zn2In2 structure. Source: Alexandria, functional GGA-PBE.

a b c (Å): 4.6842 4.6842 26.3738
angles (deg): 90.00 90.00 120.00
Space group R-3m (No. 166, hexagonal axes)
Asymmetric unit:
1 La 0.0000 0.0000 0.0000 [3 per cell]
2 Sc 0.0000 0.0000 0.1370 [6 per cell]
3 Zn 0.0000 0.0000 0.4439 [6 per cell]
4 In 0.0000 0.0000 0.2566 [6 per cell]

Results
DOS(E_F) ... 0.73 states/eV per atom
Energy relative to the elements ... -0.31 eV/atom